1.
{
  "formula": "Hg5Pb24",
  "functional": "PBE-GGA",
  "state": "relaxed",
  "cell": [[-8.923, 5.467, -1.750], [1.315, -1.376, 10.437], [8.265, 5.368, -3.928]],
  "species": ["Hg", "Hg", "Hg", "Hg", "Hg", "Pb", "Pb", "Pb", "Pb", "Pb", "Pb", "Pb", "Pb", "Pb", "Pb", "Pb", "Pb", "Pb", "Pb", "Pb", "Pb", "Pb", "Pb", "Pb", "Pb", "Pb", "Pb", "Pb", "Pb"],
  "frac_coords": [[0.000, 0.660, 0.000], [0.660, 0.000, 0.000], [0.000, 0.000, 0.660], [0.340, 0.340, 0.340], [0.000, 0.000, 0.000], [0.195, 0.383, 0.000], [0.383, 0.195, 0.000], [0.805, 0.805, 0.189], [0.617, 0.617, 0.811], [0.805, 0.189, 0.805], [0.617, 0.811, 0.617], [0.383, 0.000, 0.195], [0.195, 0.000, 0.383], [0.000, 0.383, 0.195], [0.000, 0.195, 0.383], [0.811, 0.617, 0.617], [0.189, 0.805, 0.805], [0.690, 0.413, 0.000], [0.413, 0.690, 0.000], [0.310, 0.310, 0.723], [0.587, 0.587, 0.277], [0.310, 0.723, 0.310], [0.587, 0.277, 0.587], [0.413, 0.000, 0.690], [0.690, 0.000, 0.413], [0.000, 0.413, 0.690], [0.000, 0.690, 0.413], [0.277, 0.587, 0.587], [0.723, 0.310, 0.310]],
  "vol_a3_per_atom": 31.7,
  "formation_energy_ev_per_atom": 0.0183,
  "sg": "I-43m (217)"
}

2.
{
  "formula": "Hg2Pb",
  "functional": "PBE-GGA",
  "state": "relaxed",
  "cell": [[4.969, 0.000, 0.000], [0.000, 5.608, 0.000], [0.000, -2.804, 5.943]],
  "species": ["Hg", "Hg", "Hg", "Hg", "Pb", "Pb"],
  "frac_coords": [[0.750, 0.087, 0.652], [0.250, 0.913, 0.348], [0.750, 0.435, 0.348], [0.250, 0.565, 0.652], [0.750, 0.761, 0.000], [0.250, 0.239, 0.000]],
  "vol_a3_per_atom": 27.6,
  "formation_energy_ev_per_atom": 0.0387,
  "sg": "Cmcm (63)"
}

3.
{
  "formula": "Hg13Pb2",
  "functional": "PBE-GGA",
  "state": "relaxed",
  "cell": [[8.496, 0.305, 0.227], [3.735, 7.636, 0.227], [3.735, 2.425, 7.245]],
  "species": ["Hg", "Hg", "Hg", "Hg", "Hg", "Hg", "Hg", "Hg", "Hg", "Hg", "Hg", "Hg", "Hg", "Pb", "Pb"],
  "frac_coords": [[0.500, 0.500, 0.500], [0.254, 0.618, 0.254], [0.254, 0.254, 0.618], [0.618, 0.254, 0.254], [0.382, 0.746, 0.746], [0.746, 0.382, 0.746], [0.746, 0.746, 0.382], [0.023, 0.653, 0.023], [0.023, 0.023, 0.653], [0.653, 0.023, 0.023], [0.347, 0.977, 0.977], [0.977, 0.347, 0.977], [0.977, 0.977, 0.347], [0.238, 0.238, 0.238], [0.762, 0.762, 0.762]],
  "vol_a3_per_atom": 30.2,
  "formation_energy_ev_per_atom": 0.0888,
  "sg": "R-3m (166)"
}

4.
{
  "formula": "HgPb",
  "functional": "PBE-GGA",
  "state": "relaxed",
  "cell": [[5.303, 0.000, 0.000], [0.000, 3.381, 0.151], [0.000, 1.891, 6.467]],
  "species": ["Pb", "Pb", "Hg", "Hg"],
  "frac_coords": [[0.000, 0.527, 0.512], [0.500, 0.223, 0.238], [0.000, 0.836, 0.002], [0.500, 0.914, 0.748]],
  "vol_a3_per_atom": 28.6,
  "formation_energy_ev_per_atom": 0.0279,
  "sg": "P2_1/m (11)"
}

> Which formula does entry 3 have?

Hg13Pb2